A relaxed BaCuBiMo2 crystal, computed with PBE.

Values from the calculation:
Formation energy from the elements (eV per atom): 1.18
SG: No. 123
Size of the total moment (μB/f.u.): 6.187
DFT total energy (eV/atom): -5.14

Cell: 5.0284 5.2766 5.0284 Å, 90.00 90.00 90.00°
Site moments in Bohr magnetons follow the coordinates.
Element x y z (fractional)
Mo  0.0000  0.0000  0.5000  2.57
Mo  0.5000  0.0000  0.0000  2.33
Bi  0.0000  0.5000  0.0000  -0.15
Cu  0.0000  0.0000  0.0000  0.20
Ba  0.5000  0.5000  0.5000  0.08

---

A relaxed Ba2CuBiN crystal, computed with PBE.

Values from the calculation:
Uncorrected formation energy (eV per atom): -0.4626
SG: No. 123
Size of the total moment (μB/f.u.): 0.000
DFT total energy (eV/atom): -4.49

Cell: 6.1172 6.1172 3.7243 Å, 90.00 90.00 90.00°
Element x y z (fractional)
N  0.0000  0.0000  0.0000
Bi  0.5000  0.5000  0.5000
Cu  0.0000  0.0000  0.5000
Ba  0.0000  0.5000  0.0000
Ba  0.5000  0.0000  0.0000

---

A relaxed Ba2Cu3BiO6 crystal, computed with PBE.

Values from the calculation:
Uncorrected formation energy (eV per atom): -1.3833
SG: No. 123
Size of the total moment (μB/f.u.): 0.153
DFT total energy (eV/atom): -5.53

Cell: 3.9222 3.9222 12.2654 Å, 90.00 90.00 90.00°
Site moments in Bohr magnetons follow the coordinates.
Element x y z (fractional)
Ba  0.5000  0.5000  0.1944  0.00
Ba  0.5000  0.5000  0.8056  0.00
Cu  0.0000  0.0000  0.3592  0.00
Cu  0.0000  0.0000  0.6408  0.00
Cu  0.0000  0.0000  0.0000  -0.07
Bi  0.5000  0.5000  0.5000  0.00
O  0.0000  0.5000  0.6283  0.00
O  0.5000  0.0000  0.3717  0.00
O  0.5000  0.0000  0.6283  0.00
O  0.0000  0.0000  0.1472  -0.03
O  0.0000  0.5000  0.3717  0.00
O  0.0000  0.0000  0.8528  -0.03